Record 1
First-principles (PBE) data for a geometry-optimized ErPu5Te6 structure, as listed in the Alexandria database.

Geometry as extended XYZ:
```
12
Lattice="-0.801 1.469 7.472 5.965 -2.885 3.815 6.240 4.269 1.134" Properties=species:S:1:pos:R:3 pbc="T T T"
Te 6.034 2.784 7.960
Pu 4.740 3.075 5.131
Te 1.939 2.276 6.317
Te 9.465 0.576 6.104
Er 0.000 0.000 0.000
Te 5.370 0.068 4.461
Pu 2.582 -0.708 5.644
Pu 8.141 0.930 3.298
Pu 4.064 0.453 1.651
Te 3.898 -1.074 8.488
Pu 6.664 -0.223 7.290
Te 1.265 -0.342 2.800
```

Electronic total energy in eV per atom: -9.042
Space group: C2/m, No. 12
ΔE_f (raw) in meV/atom: -1119

Record 2
First-principles (PBE) data for a geometry-optimized AgBrF3 structure, as listed in the Alexandria database.

Geometry as extended XYZ:
```
5
Lattice="4.359 0.000 0.000 0.000 4.359 0.000 0.000 0.000 4.359" Properties=species:S:1:pos:R:3 pbc="T T T"
Br 0.000 0.000 0.000
F 0.000 0.000 2.179
Ag 2.179 2.179 2.179
F 2.179 0.000 0.000
F 0.000 2.179 0.000
```

Electronic total energy in eV per atom: -2.411
Space group: Pm-3m, No. 221
ΔE_f (raw) in meV/atom: -383
Excess energy over the best structure of this formula in the dataset in eV per atom: 0.501

Record 3
First-principles (PBE) data for a geometry-optimized Tb4InPd2 structure, as listed in the Alexandria database.

Geometry as extended XYZ:
```
7
Lattice="4.852 0.000 0.000 2.426 4.202 0.000 2.426 1.401 9.421" Properties=species:S:1:pos:R:3 pbc="T T T"
In 4.852 2.801 4.710
Pd 4.852 2.801 7.540
Tb 2.426 1.401 6.138
Tb 7.278 4.202 3.282
Tb 2.426 1.401 1.057
Tb 7.278 4.202 8.363
Pd 4.852 2.801 1.880
```

Electronic total energy in eV per atom: -5.014
Space group: R-3m, No. 166

Record 4
First-principles (PBE) data for a geometry-optimized PrTmMoN3 structure, as listed in the Alexandria database.

Geometry as extended XYZ:
```
12
Lattice="-2.583 -1.457 -1.583 1.179 -5.049 2.724 -5.411 3.865 5.272" Properties=species:S:1:pos:R:3 pbc="T T T"
Pr -1.895 -0.985 2.215
Pr -4.920 -1.655 4.198
Tm -0.027 -4.030 1.970
N -4.636 0.691 5.145
N -4.442 -0.330 2.199
N -2.373 -2.310 4.214
Mo -2.933 -4.129 3.233
N -2.816 -0.644 -0.166
Tm -6.787 1.390 4.443
N -3.998 -1.997 6.579
Mo -3.882 1.488 3.180
N -2.179 -3.331 1.268
```

Electronic total energy in eV per atom: -8.698
Space group: P2_1/m, No. 11
ΔE_f (raw) in meV/atom: -1188

Record 5
First-principles (PBE) data for a geometry-optimized Sm4BO7 structure, as listed in the Alexandria database.

Geometry as extended XYZ:
```
12
Lattice="4.211 0.000 0.000 2.106 6.337 0.239 2.106 0.599 6.255" Properties=species:S:1:pos:R:3 pbc="T T T"
O 6.317 1.845 5.765
O 6.317 5.672 3.554
Sm 2.106 2.121 0.864
B 0.000 0.000 0.000
O 2.106 0.000 0.000
O 2.106 5.091 0.730
Sm 4.211 1.703 3.794
O 4.211 3.842 4.828
Sm 6.317 4.815 5.630
O 4.211 3.094 1.666
O 2.106 1.264 2.941
Sm 4.211 5.233 2.700
```

Electronic total energy in eV per atom: -7.942
Space group: C2/m, No. 12
ΔE_f (raw) in meV/atom: -2921

Record 6
First-principles (PBE) data for a geometry-optimized Pm2YHo3Bi6 structure, as listed in the Alexandria database.

Geometry as extended XYZ:
```
12
Lattice="4.506 0.000 0.000 0.000 9.003 0.329 -2.253 -2.586 9.468" Properties=species:S:1:pos:R:3 pbc="T T T"
Bi 2.253 -0.323 9.505
Ho 2.253 4.501 0.164
Bi 2.253 4.437 3.318
Bi 0.000 6.740 0.291
Bi 0.000 1.980 6.479
Ho 2.253 -0.221 6.350
Bi 0.000 6.581 6.615
Ho 0.000 6.638 3.446
Pm 0.000 2.135 3.254
Y 2.253 0.000 0.000
Pm 2.253 4.282 6.543
Bi 2.253 -0.164 3.181
```

Electronic total energy in eV per atom: -5.295
Space group: C2/m, No. 12

Record 7
First-principles (PBE) data for a geometry-optimized Ni2PdAu structure, as listed in the Alexandria database.

Geometry as extended XYZ:
```
4
Lattice="3.158 0.000 0.000 0.000 3.158 0.000 0.000 0.000 5.593" Properties=species:S:1:pos:R:3 pbc="T T T"
Pd 1.579 1.579 0.000
Ni 0.000 0.000 4.261
Ni 0.000 0.000 1.332
Au 1.579 1.579 2.796
```

Electronic total energy in eV per atom: -4.918
Space group: P4/mmm, No. 123

Record 8
First-principles (PBE) data for a geometry-optimized K3USn2Se6 structure, as listed in the Alexandria database.

Geometry as extended XYZ:
```
12
Lattice="7.549 0.000 -0.001 -3.773 6.539 -0.001 -1.260 -2.182 7.506" Properties=species:S:1:pos:R:3 pbc="T T T"
Se 0.180 4.357 5.975
K -2.438 4.312 3.752
K 1.258 2.178 3.752
U 0.000 0.000 0.000
Sn 0.014 4.351 -0.001
Se 3.684 2.334 5.975
Sn 3.762 2.187 -0.001
Se 2.611 4.522 1.534
Se 2.335 -0.001 1.530
Se -1.168 2.022 1.530
Se -0.096 -0.166 5.971
K 4.953 0.044 3.752
```

Electronic total energy in eV per atom: -4.648
Space group: C2/m, No. 12
ΔE_f (raw) in meV/atom: -1024

Record 9
First-principles (PBE) data for a geometry-optimized LiLaBe2H8 structure, as listed in the Alexandria database.

Geometry as extended XYZ:
```
12
Lattice="-0.069 0.654 -4.403 1.468 -3.864 1.654 -6.186 -2.464 -0.268" Properties=species:S:1:pos:R:3 pbc="T T T"
H -3.336 -4.103 -1.935
H 0.279 -0.917 -2.391
La 0.000 0.000 0.000
H -0.914 -2.699 -3.126
Li -3.093 -1.232 -0.134
H -1.798 -0.474 -3.182
H -5.067 -4.757 -0.627
Be -3.673 -4.202 -0.566
H -1.452 -1.572 -1.083
H -2.990 -5.201 0.165
Be -1.114 -1.473 -2.452
H -3.874 -2.976 0.108
```

Electronic total energy in eV per atom: -3.761
Space group: P-3, No. 147

Record 10
First-principles (PBE) data for a geometry-optimized Er5Al3In structure, as listed in the Alexandria database.

Geometry as extended XYZ:
```
18
Lattice="-5.508 1.914 2.748 -3.592 -8.090 -1.566 4.380 1.560 7.693" Properties=species:S:1:pos:R:3 pbc="T T T"
Er 1.692 1.572 6.078
Al -0.878 -3.662 4.572
Er -6.412 -6.187 2.797
Er -1.141 -1.475 2.520
Er -1.032 -0.699 5.981
Al 0.225 1.049 3.501
Al -2.691 -2.481 0.114
Er 1.723 -1.656 4.607
Er -3.579 -3.140 6.354
Al -3.843 -0.953 4.302
In -2.754 0.957 1.374
In 0.000 0.000 0.000
Er -3.894 -5.190 -0.410
Al -4.946 -5.665 5.374
Er -0.935 -4.873 1.520
Er -3.689 -3.916 2.894
Er -5.206 -0.986 1.592
Al -6.409 -3.695 1.068
```

Electronic total energy in eV per atom: -4.422
Space group: P6_3/mcm, No. 193